w | This record from Alexandria via LeMat-Bulk describes crystalline AcSi2Au6 at its relaxed geometry. The functional is PBE.

Unit cell a=6.1575 b=6.1575 c=6.4165 alpha=90.00 beta=90.00 gamma=120.00
Space group P6/mmm (No. 191)
Unique sites:
Ac 0.0000 0.0000 0.0000 [1 per cell]
Si 0.3333 0.6667 0.5000 [2 per cell]
Au 0.0000 0.5000 0.2231 [6 per cell]

Summary:
- D(E_F): 0.43 states/eV/atom
- Crystal system: hexagonal

x | This record from Alexandria via LeMat-Bulk describes crystalline AcSi2Au6 at its relaxed geometry. The functional is PBE.

Unit cell a=4.5655 b=4.5655 c=8.5299 alpha=90.00 beta=90.00 gamma=90.00
Space group P4/mmm (No. 123)
Unique sites:
Ac 0.0000 0.0000 0.0000 [1 per cell]
Si 0.5000 0.5000 0.1457 [2 per cell]
Au 0.0000 0.0000 0.5000 [1 per cell]
Au 0.0000 0.5000 0.2801 [4 per cell]
Au 0.5000 0.5000 0.5000 [1 per cell]

Summary:
- D(E_F): 0.38 states/eV/atom
- Crystal system: tetragonal

Q: Which of them is the most stable? A: x.

w | This record from Alexandria via LeMat-Bulk describes crystalline AcSm2Au at its relaxed geometry. The functional is PBE.

Unit cell a=5.6374 b=5.6374 c=3.7913 alpha=90.00 beta=90.00 gamma=90.00
Space group P4/mmm (No. 123)
Unique sites:
Ac 0.0000 0.0000 0.0000 [1 per cell]
Sm 0.0000 0.5000 0.5000 [2 per cell]
Au 0.5000 0.5000 0.0000 [1 per cell]

Summary:
- D(E_F): 1.44 states/eV/atom
- Crystal system: tetragonal

x | This record from Alexandria via LeMat-Bulk describes crystalline AcSm2Au at its relaxed geometry. The functional is PBE.

Unit cell a=7.8033 b=7.8033 c=7.8033 alpha=90.00 beta=90.00 gamma=90.00
Space group Fm-3m (No. 225)
Unique sites:
Ac 0.0000 0.0000 0.0000 [4 per cell]
Sm 0.2500 0.2500 0.2500 [8 per cell]
Au 0.0000 0.0000 0.5000 [4 per cell]

Summary:
- D(E_F): 1.70 states/eV/atom
- Crystal system: cubic

Q: Which of them is the most stable? A: w.

w | This record from Alexandria via LeMat-Bulk describes crystalline AcSmAu2 at its relaxed geometry. The functional is PBE.

Unit cell a=4.8624 b=4.0384 c=11.5128 alpha=90.00 beta=90.00 gamma=90.00
Space group Amm2 (No. 38)
Unique sites:
Ac 0.0000 0.0000 0.0000 [2 per cell]
Sm 0.5000 0.0000 0.2732 [2 per cell]
Au 0.0000 0.0000 0.7257 [2 per cell]
Au 0.5000 0.0000 0.5515 [2 per cell]

Summary:
- D(E_F): 0.72 states/eV/atom
- Crystal system: orthorhombic

x | This record from Alexandria via LeMat-Bulk describes crystalline AcSmAu2 at its relaxed geometry. The functional is PBE.

Unit cell a=7.6055 b=7.6055 c=7.6055 alpha=90.00 beta=90.00 gamma=90.00
Space group Fm-3m (No. 225)
Unique sites:
Ac 0.0000 0.0000 0.0000 [4 per cell]
Sm 0.0000 0.0000 0.5000 [4 per cell]
Au 0.2500 0.2500 0.2500 [8 per cell]

Summary:
- D(E_F): 0.85 states/eV/atom
- Crystal system: cubic

y | This record from Alexandria via LeMat-Bulk describes crystalline AcSmAu2 at its relaxed geometry. The functional is PBE.

Unit cell a=3.7784 b=3.7784 c=7.6181 alpha=90.00 beta=90.00 gamma=90.00
Space group P4/mmm (No. 123)
Unique sites:
Ac 0.0000 0.0000 0.0000 [1 per cell]
Sm 0.0000 0.0000 0.5000 [1 per cell]
Au 0.5000 0.5000 0.2791 [2 per cell]

Summary:
- D(E_F): 0.47 states/eV/atom
- Crystal system: tetragonal

Q: Which of them is the most stable? A: w.

w | This record from Alexandria via LeMat-Bulk describes crystalline AcSn2Au at its relaxed geometry. The functional is PBE.

Unit cell a=4.8920 b=9.7513 c=18.8254 alpha=90.00 beta=90.00 gamma=90.00
Space group Immm (No. 71)
Unique sites:
Ac 0.0000 0.0000 0.2017 [4 per cell]
Ac 0.0000 0.2454 0.0000 [4 per cell]
Sn 0.0000 0.0000 0.4231 [4 per cell]
Sn 0.0000 0.3479 0.1930 [8 per cell]
Sn 0.0000 0.5000 0.4252 [4 per cell]
Au 0.0000 0.2563 0.3510 [8 per cell]

Summary:
- D(E_F): 0.36 states/eV/atom
- Crystal system: orthorhombic

x | This record from Alexandria via LeMat-Bulk describes crystalline AcSn2Au at its relaxed geometry. The functional is PBE.

Unit cell a=3.8601 b=3.8601 c=7.4045 alpha=90.00 beta=90.00 gamma=90.00
Space group P4/mmm (No. 123)
Unique sites:
Ac 0.0000 0.0000 0.0000 [1 per cell]
Sn 0.5000 0.5000 0.3058 [2 per cell]
Au 0.0000 0.0000 0.5000 [1 per cell]

Summary:
- D(E_F): 0.95 states/eV/atom
- Crystal system: tetragonal

y | This record from Alexandria via LeMat-Bulk describes crystalline AcSn2Au at its relaxed geometry. The functional is PBE.

Unit cell a=4.7800 b=19.1441 c=9.8286 alpha=90.00 beta=90.00 gamma=90.00
Space group Cmcm (No. 63)
Unique sites:
Ac 0.0000 0.0000 0.0000 [4 per cell]
Ac 0.0000 0.1980 0.2500 [4 per cell]
Sn 0.0000 0.1956 0.5971 [8 per cell]
Sn 0.0000 0.4181 0.2500 [4 per cell]
Sn 0.0000 0.4317 0.7500 [4 per cell]
Au 0.0000 0.3547 0.5110 [8 per cell]

Summary:
- D(E_F): 0.39 states/eV/atom
- Crystal system: orthorhombic

z | This record from Alexandria via LeMat-Bulk describes crystalline AcSn2Au at its relaxed geometry. The functional is PBE.

Unit cell a=4.7668 b=4.7668 c=4.9051 alpha=90.00 beta=90.00 gamma=90.00
Space group P4/mmm (No. 123)
Unique sites:
Ac 0.0000 0.0000 0.0000 [1 per cell]
Sn 0.0000 0.5000 0.5000 [2 per cell]
Au 0.5000 0.5000 0.0000 [1 per cell]

Summary:
- D(E_F): 0.45 states/eV/atom
- Crystal system: tetragonal

Q: Which of them is the most stable? A: w.

w | This record from Alexandria via LeMat-Bulk describes crystalline Ac4Sn2Au at its relaxed geometry. The functional is PBE.

Unit cell a=5.7058 b=5.7058 c=17.8955 alpha=90.00 beta=90.00 gamma=90.00
Space group I4/mmm (No. 139)
Unique sites:
Ac 0.0000 0.0000 0.1835 [4 per cell]
Ac 0.0000 0.5000 0.0000 [4 per cell]
Sn 0.0000 0.0000 0.3697 [4 per cell]
Au 0.0000 0.0000 0.0000 [2 per cell]

Summary:
- D(E_F): 0.90 states/eV/atom
- Crystal system: tetragonal

x | This record from Alexandria via LeMat-Bulk describes crystalline Ac4Sn2Au at its relaxed geometry. The functional is PBE.

Unit cell a=9.8888 b=9.8903 c=10.3846 alpha=90.00 beta=90.00 gamma=90.00
Space group I2_12_12_1 (No. 24)
Unique sites:
Ac 0.0726 0.0607 0.0684 [8 per cell]
Ac 0.1893 0.3227 0.6812 [8 per cell]
Sn 0.1174 0.0000 0.7500 [4 per cell]
Sn 0.2500 0.3674 0.0000 [4 per cell]
Au 0.0000 0.2500 0.3760 [4 per cell]

Summary:
- D(E_F): 1.06 states/eV/atom
- Crystal system: orthorhombic

Q: Which of them is the most stable? A: x.

w | This record from Alexandria via LeMat-Bulk describes crystalline Ac2Sn2Au3 at its relaxed geometry. The functional is PBE.

Unit cell a=11.8594 b=4.6447 c=7.3756 alpha=90.00 beta=112.13 gamma=90.00
Space group C2/m (No. 12)
Unique sites:
Ac 0.1418 0.0000 0.2514 [4 per cell]
Sn 0.1456 0.0000 0.7332 [4 per cell]
Au 0.0000 0.5000 0.5000 [2 per cell]
Au 0.0952 0.5000 0.9247 [4 per cell]

Summary:
- D(E_F): 0.55 states/eV/atom
- Crystal system: monoclinic

x | This record from Alexandria via LeMat-Bulk describes crystalline Ac2Sn2Au3 at its relaxed geometry. The functional is PBE.

Unit cell a=4.4575 b=21.5476 c=7.9826 alpha=90.00 beta=90.00 gamma=90.00
Space group Cmcm (No. 63)
Unique sites:
Ac 0.0000 0.0535 0.2500 [4 per cell]
Ac 0.0000 0.1509 0.7500 [4 per cell]
Sn 0.0000 0.3160 0.5565 [8 per cell]
Au 0.0000 0.2243 0.2500 [4 per cell]
Au 0.0000 0.4415 0.0701 [8 per cell]

Summary:
- D(E_F): 0.53 states/eV/atom
- Crystal system: orthorhombic

Q: Which of them is the most stable? A: w.

w | This record from Alexandria via LeMat-Bulk describes crystalline AcSn3Au at its relaxed geometry. The functional is PBE.

Unit cell a=4.8655 b=25.3040 c=4.6852 alpha=90.00 beta=90.00 gamma=90.00
Space group Cmmm (No. 65)
Unique sites:
Ac 0.0000 0.1679 0.0000 [4 per cell]
Sn 0.0000 0.0577 0.5000 [4 per cell]
Sn 0.0000 0.2782 0.5000 [4 per cell]
Sn 0.0000 0.4433 0.0000 [4 per cell]
Au 0.0000 0.3838 0.5000 [4 per cell]

Summary:
- D(E_F): 0.30 states/eV/atom
- Crystal system: orthorhombic

x | This record from Alexandria via LeMat-Bulk describes crystalline AcSn3Au at its relaxed geometry. The functional is PBE.

Unit cell a=6.2900 b=6.6457 c=6.9282 alpha=90.00 beta=90.03 gamma=90.00
Space group P2_1 (No. 4)
Unique sites:
Ac 0.1544 0.0000 0.2505 [2 per cell]
Sn 0.0844 0.0576 0.7505 [2 per cell]
Sn 0.3149 0.4445 0.0130 [2 per cell]
Sn 0.3150 0.4448 0.4866 [2 per cell]
Au 0.3741 0.7549 0.7505 [2 per cell]

Summary:
- D(E_F): 0.45 states/eV/atom
- Crystal system: monoclinic

Q: Which of them is the most stable? A: w.

w | This record from Alexandria via LeMat-Bulk describes crystalline Ac3Sn4Au4 at its relaxed geometry. The functional is PBE.

Unit cell a=4.6156 b=7.9388 c=16.3552 alpha=90.00 beta=90.00 gamma=90.00
Space group Immm (No. 71)
Unique sites:
Ac 0.0000 0.0000 0.0000 [2 per cell]
Ac 0.0000 0.5000 0.1277 [4 per cell]
Sn 0.0000 0.3068 0.3383 [8 per cell]
Au 0.0000 0.0000 0.2123 [4 per cell]
Au 0.0000 0.1845 0.5000 [4 per cell]

Summary:
- D(E_F): 0.59 states/eV/atom
- Crystal system: orthorhombic

x | This record from Alexandria via LeMat-Bulk describes crystalline Ac3Sn4Au4 at its relaxed geometry. The functional is PBE.

Unit cell a=4.6622 b=4.8669 c=27.1722 alpha=90.00 beta=90.00 gamma=90.00
Space group Immm (No. 71)
Unique sites:
Ac 0.0000 0.0000 0.0000 [2 per cell]
Ac 0.0000 0.5000 0.1550 [4 per cell]
Sn 0.0000 0.0000 0.4474 [4 per cell]
Sn 0.0000 0.5000 0.3052 [4 per cell]
Au 0.0000 0.0000 0.2531 [4 per cell]
Au 0.0000 0.5000 0.4050 [4 per cell]

Summary:
- D(E_F): 0.50 states/eV/atom
- Crystal system: orthorhombic

Q: Which of them is the most stable? A: x.

w | This record from Alexandria via LeMat-Bulk describes crystalline AcSnAu at its relaxed geometry. The functional is PBE.

Unit cell a=4.8211 b=4.8211 c=8.6842 alpha=90.00 beta=90.00 gamma=120.00
Space group P6_3/mmc (No. 194)
Unique sites:
Ac 0.0000 0.0000 0.0000 [2 per cell]
Sn 0.3333 0.6667 0.2500 [2 per cell]
Au 0.3333 0.6667 0.7500 [2 per cell]

Summary:
- D(E_F): 0.16 states/eV/atom
- Crystal system: hexagonal

x | This record from Alexandria via LeMat-Bulk describes crystalline AcSnAu at its relaxed geometry. The functional is PBE.

Unit cell a=4.8084 b=4.8084 c=4.3594 alpha=90.00 beta=90.00 gamma=120.00
Space group P3m1 (No. 156)
Unique sites:
Ac 0.0000 0.0000 0.0000 [1 per cell]
Sn 0.6667 0.3333 0.4835 [1 per cell]
Au 0.3333 0.6667 0.5286 [1 per cell]

Summary:
- D(E_F): 0.75 states/eV/atom
- Crystal system: trigonal

Q: Which of them is the most stable? A: w.

w | This record from Alexandria via LeMat-Bulk describes crystalline Ac3Sn2Au at its relaxed geometry. The functional is PBE.

Unit cell a=13.2463 b=4.8299 c=12.9817 alpha=90.00 beta=90.00 gamma=90.00
Space group Pnma (No. 62)
Unique sites:
Ac 0.0542 0.2500 0.1244 [4 per cell]
Ac 0.1216 0.7500 0.5539 [4 per cell]
Ac 0.2225 0.2500 0.8005 [4 per cell]
Sn 0.0094 0.7500 0.3095 [4 per cell]
Sn 0.1906 0.7500 0.0014 [4 per cell]
Au 0.1278 0.2500 0.3649 [4 per cell]

Summary:
- D(E_F): 0.96 states/eV/atom
- Crystal system: orthorhombic

x | This record from Alexandria via LeMat-Bulk describes crystalline Ac3Sn2Au at its relaxed geometry. The functional is PBE.

Unit cell a=14.9113 b=6.7814 c=9.4422 alpha=90.00 beta=108.22 gamma=90.00
Space group C2/c (No. 15)
Unique sites:
Ac 0.0000 0.0579 0.2500 [4 per cell]
Ac 0.1651 0.4906 0.0809 [8 per cell]
Sn 0.1656 0.0121 0.5850 [8 per cell]
Au 0.0000 0.4456 0.7500 [4 per cell]

Summary:
- D(E_F): 0.65 states/eV/atom
- Crystal system: monoclinic

Q: Which of them is the most stable? A: w.